No. 1
Compound: KCuGe2
Source: Alexandria via LeMat-Bulk
Functional: PBE-GGA
Structure: optimized geometry

## Properties
formation enthalpy at 0 K: 0.468 eV per atom
volume: 81.6 Å³ per cell
E_tot: -3.14 eV/atom

Lattice parameters (Å, degrees): 4.8676 4.8676 4.8676 60.00 60.00 60.00
Last column: nearest neighbours and their distance in Å.
Positions (direct):
K  0.0000  0.0000  0.0000  8 Ge 2.98
Cu  0.5000  0.5000  0.5000  8 Ge 2.98
Ge  0.2500  0.2500  0.2500  4 Cu 2.98, 4 K 2.98
Ge  0.7500  0.7500  0.7500  4 K 2.98, 4 Cu 2.98



No. 2
Compound: MnTe6Ir2
Source: Alexandria via LeMat-Bulk
Functional: PBE-GGA
Structure: optimized geometry

## Properties
volume: 678.9 Å³ per cell
E_tot: -5.29 eV/atom
energy relative to the elements, uncorrected: -0.204 eV per atom

Lattice parameters (Å, degrees): 11.9617 11.9617 5.4785 90.00 90.00 120.00
Last column: nearest neighbours and their distance in Å.
Positions (direct):
Mn  0.0000  0.0000  0.0000  6 Te 2.71
Mn  0.3333  0.6667  0.4880  6 Te 2.71-2.78
Mn  0.6667  0.3333  0.5120  6 Te 2.71-2.78
Te  0.0965  0.5482  0.7272  2 Ir 2.66, 1 Mn 2.78
Te  0.1128  0.2255  0.7504  2 Ir 2.69, 1 Mn 2.71
Te  0.1128  0.8872  0.7504  2 Ir 2.69, 1 Mn 2.71
Te  0.2174  0.4348  0.2582  2 Ir 2.66, 1 Mn 2.71
Te  0.2174  0.7826  0.2582  2 Ir 2.66, 1 Mn 2.71
Te  0.2255  0.1128  0.2496  2 Ir 2.69, 1 Mn 2.71
Te  0.4348  0.2174  0.7418  2 Ir 2.66, 1 Mn 2.71
Te  0.4518  0.5482  0.7272  2 Ir 2.66, 1 Mn 2.78
Te  0.4518  0.9035  0.7272  2 Ir 2.66, 1 Mn 2.78
Te  0.5482  0.0965  0.2728  2 Ir 2.66, 1 Mn 2.78
Te  0.5482  0.4518  0.2728  2 Ir 2.66, 1 Mn 2.78
Te  0.5652  0.7826  0.2582  2 Ir 2.66, 1 Mn 2.71
Te  0.7745  0.8872  0.7504  2 Ir 2.69, 1 Mn 2.71
Te  0.7826  0.2174  0.7418  2 Ir 2.66, 1 Mn 2.71
Te  0.7826  0.5652  0.7418  2 Ir 2.66, 1 Mn 2.71
Te  0.8872  0.1128  0.2496  2 Ir 2.69, 1 Mn 2.71
Te  0.8872  0.7745  0.2496  2 Ir 2.69, 1 Mn 2.71
Te  0.9035  0.4518  0.2728  2 Ir 2.66, 1 Mn 2.78
Ir  0.0000  0.3366  0.0000  6 Te 2.66-2.69
Ir  0.0000  0.6634  0.0000  6 Te 2.66-2.69
Ir  0.3366  0.0000  0.0000  6 Te 2.66-2.69
Ir  0.3366  0.3366  0.0000  6 Te 2.66-2.69
Ir  0.6634  0.0000  0.0000  6 Te 2.66-2.69
Ir  0.6634  0.6634  0.0000  6 Te 2.66-2.69



> What is the E_tot in the first record?

-3.14 eV/atom



> Number 2 is which compound?

MnTe6Ir2